Record 1
# Zr2InAg SCAN PBEsol geometry
data_Zr2InAg
_chemical_formula_sum 'Zr2 In1 Ag1'
_cell_length_a 3.0882
_cell_length_b 3.0882
_cell_length_c 8.3882
_cell_angle_alpha 90.00
_cell_angle_beta 90.00
_cell_angle_gamma 90.00
_space_group_name_H-M_alt 'P 1'
_space_group_IT_number 1
loop_
_space_group_symop_operation_xyz
'x,y,z'
loop_
_atom_site_label
_atom_site_type_symbol
_atom_site_fract_x
_atom_site_fract_y
_atom_site_fract_z
In1 In 0.5000 0.5000 0.5000
Ag1 Ag 0.5000 0.5000 0.0000
Zr1 Zr 0.0000 0.0000 0.7598
Zr2 Zr 0.0000 0.0000 0.2402
# Size of the total moment, μB/cell: 0.00
# Energy of formation, eV/atom: -0.27


Record 2
# ZrIn2Ag SCAN PBEsol geometry
data_ZrIn2Ag
_chemical_formula_sum 'Zr1 In2 Ag1'
_cell_length_a 3.1382
_cell_length_b 3.1382
_cell_length_c 10.1518
_cell_angle_alpha 81.11
_cell_angle_beta 81.11
_cell_angle_gamma 60.00
_space_group_name_H-M_alt 'P 1'
_space_group_IT_number 1
loop_
_space_group_symop_operation_xyz
'x,y,z'
loop_
_atom_site_label
_atom_site_type_symbol
_atom_site_fract_x
_atom_site_fract_y
_atom_site_fract_z
In1 In 0.9951 0.9951 0.0148
Ag1 Ag 0.2497 0.2497 0.2510
In2 In 0.7519 0.7519 0.7444
Zr1 Zr 0.5034 0.5034 0.4898
# Size of the total moment, μB/cell: 0.00
# Energy of formation, eV/atom: 0.00


Record 3
# Ag2Ir SCAN PBEsol geometry
data_Ag2Ir
_chemical_formula_sum 'Ag4 Ir2'
_cell_length_a 5.1491
_cell_length_b 5.1491
_cell_length_c 5.1491
_cell_angle_alpha 60.00
_cell_angle_beta 60.00
_cell_angle_gamma 60.00
_space_group_name_H-M_alt 'P 1'
_space_group_IT_number 1
loop_
_space_group_symop_operation_xyz
'x,y,z'
loop_
_atom_site_label
_atom_site_type_symbol
_atom_site_fract_x
_atom_site_fract_y
_atom_site_fract_z
Ag1 Ag 0.1250 0.6250 0.1250
Ir1 Ir 0.5000 0.5000 0.5000
Ag2 Ag 0.1250 0.1250 0.6250
Ag3 Ag 0.1250 0.1250 0.1250
Ag4 Ag 0.6250 0.1250 0.1250
Ir2 Ir 0.7500 0.7500 0.7500
# Size of the total moment, μB/cell: 1.60
# Energy of formation, eV/atom: 0.90
# Relative energy among the computed polymorphs, eV per atom: 0.494


Record 4
# AgIr SCAN PBEsol geometry
data_AgIr
_chemical_formula_sum 'Ag1 Ir1'
_cell_length_a 3.6728
_cell_length_b 3.6728
_cell_length_c 3.6728
_cell_angle_alpha 60.00
_cell_angle_beta 60.00
_cell_angle_gamma 60.00
_space_group_name_H-M_alt 'P 1'
_space_group_IT_number 1
loop_
_space_group_symop_operation_xyz
'x,y,z'
loop_
_atom_site_label
_atom_site_type_symbol
_atom_site_fract_x
_atom_site_fract_y
_atom_site_fract_z
Ag1 Ag 0.0000 0.0000 0.0000
Ir1 Ir 0.5000 0.5000 0.5000
# Size of the total moment, μB/cell: 0.00
# Energy of formation, eV/atom: 1.61


Record 5
# AgIr SCAN PBEsol geometry
data_AgIr
_chemical_formula_sum 'Ag2 Ir2'
_cell_length_a 2.6848
_cell_length_b 4.5883
_cell_length_c 5.0218
_cell_angle_alpha 90.00
_cell_angle_beta 90.00
_cell_angle_gamma 90.00
_space_group_name_H-M_alt 'P 1'
_space_group_IT_number 1
loop_
_space_group_symop_operation_xyz
'x,y,z'
loop_
_atom_site_label
_atom_site_type_symbol
_atom_site_fract_x
_atom_site_fract_y
_atom_site_fract_z
Ag1 Ag 0.0000 0.2500 0.3740
Ir1 Ir 0.5000 0.2500 0.8904
Ir2 Ir 0.5000 0.7500 0.1096
Ag2 Ag 0.0000 0.7500 0.6260
# Size of the total moment, μB/cell: 0.00
# Energy of formation, eV/atom: 0.48


Record 6
# AgIr2 SCAN PBEsol geometry
data_AgIr2
_chemical_formula_sum 'Ag1 Ir2'
_cell_length_a 2.7267
_cell_length_b 2.7267
_cell_length_c 6.8742
_cell_angle_alpha 90.00
_cell_angle_beta 90.00
_cell_angle_gamma 120.00
_space_group_name_H-M_alt 'P 1'
_space_group_IT_number 1
loop_
_space_group_symop_operation_xyz
'x,y,z'
loop_
_atom_site_label
_atom_site_type_symbol
_atom_site_fract_x
_atom_site_fract_y
_atom_site_fract_z
Ir1 Ir 0.6667 0.3333 0.3452
Ir2 Ir 0.3333 0.6667 0.6548
Ag1 Ag 0.0000 0.0000 0.0000
# Size of the total moment, μB/cell: 0.00
# Energy of formation, eV/atom: 0.24